No. 1
## ThCuAg2 (PBE)

Data for a relaxed structure of ThCuAg2.

The structure belongs to space group R-3m (No. 166, hexagonal axes); the cell edges are 4.5742, 4.5742 and 14.2462 Å and the angles 90.00°, 90.00° and 120.00°. Symmetry generates all atoms from Th at (0.0000, 0.0000, 0.0000), Cu at (0.0000, 0.0000, 0.5000) and Ag at (0.0000, 0.0000, 0.2175).

The energy above the most stable polymorph in this dataset comes out at 140 meV per atom. The formation energy from the elements is 24 meV/atom.

No. 2
## La2YOsPb (PBE)

Data for a relaxed structure of La2YOsPb.

The structure belongs to space group P4/mmm (No. 123); the cell edges are 5.495, 5.495 and 5.490 Å and the angles 90.00°, 90.00° and 90.00°. Symmetry generates all atoms from La at (0.000, 0.500, 0.000), Y at (0.000, 0.000, 0.500), Os at (0.000, 0.000, 0.000) and Pb at (0.500, 0.500, 0.500).

The formation energy from the elements is -256 meV/atom.

No. 3
## MnMo2Au (PBE)

Data for a relaxed structure of MnMo2Au.

The structure belongs to space group C2/m (No. 12); the cell edges are 5.430, 8.405 and 2.710 Å and the angles 90.00°, 90.18° and 90.00°. Symmetry generates all atoms from Mn at (0.000, 0.000, 0.000), Mo at (0.250, 0.250, 0.500) and Au at (0.000, 0.500, 0.000).

The energy above the most stable polymorph in this dataset comes out at 90 meV per atom. The formation energy from the elements is 256 meV/atom.

No. 4
## BaPt (PBE)

Data for a relaxed structure of BaPt.

The structure belongs to space group P4/nmm (No. 129, origin choice 2); the cell edges are 3.781, 3.781 and 9.264 Å and the angles 90.00°, 90.00° and 90.00°. Symmetry generates all atoms from Ba at (0.250, 0.250, 0.223) and Pt at (0.250, 0.250, 0.538).

The formation energy from the elements is -264 meV/atom.

No. 5
## Sc2Co (PBE)

Data for a relaxed structure of Sc2Co.

The structure belongs to space group P6/mmm (No. 191); the cell edges are 4.5464, 4.5464 and 2.8378 Å and the angles 90.00°, 90.00° and 120.00°. Symmetry generates all atoms from Sc at (0.3333, 0.6667, 0.0000) and Co at (0.0000, 0.0000, 0.5000).

The formation energy from the elements is 225 meV/atom.

No. 6
## TeRu2Se (PBE)

Data for a relaxed structure of TeRu2Se.

The structure belongs to space group Fmmm (No. 69); the cell edges are 5.742, 6.240 and 8.359 Å and the angles 90.00°, 90.00° and 90.00°. Symmetry generates all atoms from Te at (0.000, 0.000, 0.000), Ru at (0.000, 0.250, 0.250) and Se at (0.000, 0.000, 0.500).

The formation energy (no corrections) comes out at 0.580 eV per atom. The energy above the most stable polymorph in this dataset comes out at 513 meV per atom.